Material: Al2PtAu
Method: DFT, PBE-GGA
State: optimized geometry

The magnetization is 0.00 μB per atom. As for the space group: No. 160. The density of states at the Fermi level is 0.240 states/eV/atom. As for the calculated volume: 65.0 Å³/f.u. For the final energy, the calculation gives -4.5553 eV per atom. As for the formation energy from the elements: -0.35 eV per atom.

a b c (Å): 2.9424 2.9424 26.0219
angles (deg): 90.00 90.00 120.00
Last column: nearest neighbours and their distance in Å.
Element x y z (fractional)
Al 0.0000 0.0000 0.0000  3 Au 2.68, 9 Al 2.78-2.94
Al 0.0000 0.0000 0.2487  3 Pt 2.56, 3 Al 2.78
Al 0.3333 0.6667 0.6667  3 Au 2.68, 9 Al 2.78-2.94
Al 0.3333 0.6667 0.9154  3 Pt 2.56, 3 Al 2.78
Al 0.6667 0.3333 0.3333  3 Au 2.68, 9 Al 2.78-2.94
Al 0.6667 0.3333 0.5821  3 Pt 2.56, 3 Al 2.78
Pt 0.0000 0.0000 0.5086  3 Al 2.56
Pt 0.3333 0.6667 0.1753  3 Al 2.56
Pt 0.6667 0.3333 0.8420  3 Al 2.56
Au 0.0000 0.0000 0.7465  3 Al 2.68, 6 Au 2.94
Au 0.3333 0.6667 0.4131  3 Al 2.68, 6 Au 2.94
Au 0.6667 0.3333 0.0798  3 Al 2.68, 6 Au 2.94